# 1
VASP calculation (PBE) on Mg3TeN after structural relaxation.

a = 5.3368 Å, b = 5.3368 Å, c = 5.3368 Å
α = 90.00°, β = 90.00°, γ = 90.00°
Fractional coordinates of all 5 atoms:
Mg1 0.0000 0.5000 0.0000
Mg2 0.0000 0.0000 0.5000
Mg3 0.5000 0.0000 0.0000
Te1 0.0000 0.0000 0.0000
N1 0.5000 0.5000 0.5000

Output
* ΔE to the lowest computed polymorph: 1.843 eV per atom
* density of states at the Fermi level: 4.21 states/eV/cell
* mass density: 2.34 g/cm3

# 2
VASP calculation (PBE) on Ce5Bi2H after structural relaxation.

a = 6.9988 Å, b = 6.9986 Å, c = 6.6840 Å
α = 121.52°, β = 121.51°, γ = 90.09°
Fractional coordinates of all 8 atoms:
Ce1 0.7528 0.2524 0.0052
Ce2 0.2547 0.2547 0.0053
Ce3 0.7504 0.7504 0.0050
Ce4 0.2524 0.7528 0.0052
Ce5 0.7499 0.7499 0.4998
Bi1 0.2522 0.7523 0.5045
Bi2 0.7523 0.2522 0.5044
H1 0.0124 0.0124 0.0247

Output
* density of states at the Fermi level: 22.38 states/eV/cell
* DFT total energy: -5.4701 eV/atom
* mass density: 8.44 g/cm3

# 3
VASP calculation (PBE) on ScCd3Au after structural relaxation.

a = 5.1697 Å, b = 5.1697 Å, c = 5.1697 Å
α = 90.00°, β = 90.00°, γ = 90.00°
Fractional coordinates of all 5 atoms:
Sc1 0.5000 0.5000 0.5000
Au1 0.0000 0.0000 0.0000
Cd1 0.0000 0.5000 0.0000
Cd2 0.0000 0.0000 0.5000
Cd3 0.5000 0.0000 0.0000

Output
* ΔE to the lowest computed polymorph: 0.000 eV per atom
* density of states at the Fermi level: 4.54 states/eV/cell
* mass density: 6.96 g/cm3
* ΔE_f: 0.26 eV per atom

# 4
VASP calculation (PBE) on SiGeTe2Se after structural relaxation.

a = 5.4763 Å, b = 4.7115 Å, c = 5.4763 Å
α = 90.00°, β = 90.00°, γ = 90.00°
Fractional coordinates of all 5 atoms:
Ge1 0.0000 0.0000 0.0000
Te1 0.0000 0.0000 0.5000
Te2 0.5000 0.0000 0.0000
Si1 0.0000 0.5000 0.0000
Se1 0.5000 0.5000 0.5000

Output
* density of states at the Fermi level: 4.41 states/eV/cell
* DFT total energy: -3.1586 eV/atom
* mass density: 5.11 g/cm3

# 5
VASP calculation (PBE) on YBeAg after structural relaxation.

a = 4.2856 Å, b = 4.2856 Å, c = 3.7189 Å
α = 90.00°, β = 90.00°, γ = 120.00°
Fractional coordinates of all 3 atoms:
Y1 0.3333 0.6667 0.6664
Be1 0.6667 0.3333 0.1672
Ag1 0.0000 0.0000 0.1664

Output
* ΔE to the lowest computed polymorph: 0.028 eV per atom
* density of states at the Fermi level: 1.88 states/eV/cell
* mass density: 5.78 g/cm3
* ΔE_f: -0.09 eV per atom

# 6
VASP calculation (PBE) on Ac2Tb5PmPr after structural relaxation.

a = 5.8325 Å, b = 10.5179 Å, c = 11.0401 Å
α = 90.00°, β = 90.00°, γ = 106.10°
Fractional coordinates of all 18 atoms:
Ac1 0.8817 0.7634 0.8241
Ac2 0.1113 0.2226 0.7308
Ac3 0.1183 0.2366 0.3241
Ac4 0.8887 0.7774 0.2308
Tb1 0.3973 0.7946 0.0243
Tb2 0.7135 0.4270 0.8022
Tb3 0.4783 0.9566 0.7391
Tb4 0.2971 0.5942 0.7046
Tb5 0.9795 0.9590 0.5299
Tb6 0.6027 0.2054 0.5243
Tb7 0.2865 0.5730 0.3022
Tb8 0.5217 0.0434 0.2391
Tb9 0.7029 0.4058 0.2046
Tb10 0.0205 0.0410 0.0299
Pm1 0.7906 0.5812 0.5076
Pm2 0.2094 0.4188 0.0076
Pr1 0.5835 0.1670 0.9614
Pr2 0.4165 0.8330 0.4614

Output
* density of states at the Fermi level: 26.26 states/eV/cell
* mass density: 7.83 g/cm3
* ΔE_f: 0.15 eV per atom

# 7
VASP calculation (PBE) on Sm4Tl2InAg after structural relaxation.

a = 5.4012 Å, b = 5.4012 Å, c = 9.3989 Å
α = 73.30°, β = 73.30°, γ = 60.00°
Fractional coordinates of all 8 atoms:
Sm1 0.3776 0.3776 0.8673
Sm2 0.8728 0.8728 0.3817
Sm3 0.1272 0.1272 0.6183
Sm4 0.6224 0.6224 0.1327
Tl1 0.7505 0.7505 0.7486
Tl2 0.2495 0.2495 0.2514
In1 0.0000 0.0000 0.0000
Ag1 0.5000 0.5000 0.5000

Output
* density of states at the Fermi level: 9.55 states/eV/cell
* mass density: 9.14 g/cm3
* ΔE_f: -0.37 eV per atom

# 8
VASP calculation (PBE) on TbGaNiPt after structural relaxation.

a = 4.6061 Å, b = 4.6061 Å, c = 4.6061 Å
α = 60.00°, β = 60.00°, γ = 60.00°
Fractional coordinates of all 4 atoms:
Ni1 0.2500 0.2500 0.2500
Tb1 0.0000 0.0000 0.0000
Ga1 0.5000 0.5000 0.5000
Pt1 0.7500 0.7500 0.7500

Output
* density of states at the Fermi level: 3.09 states/eV/cell
* mass density: 11.59 g/cm3
* ΔE_f: -0.65 eV per atom

Question: Number 8 is which compound?
Answer: TbGaNiPt

Question: Number 8 is which compound?
Answer: TbGaNiPt

Question: Look up the mass density of the eighth one.
Answer: 11.59 g/cm3

Question: density of states at the Fermi level of number 2 (Ce5Bi2H)?
Answer: 22.38 states/eV/cell